Entry from Alexandria: crystalline La2Mg12Pt7 at its relaxed geometry (PBE-GGA).

Output
The calculation puts the formation energy at -0.786 eV/atom. The total DFT energy (no corrections) comes out at -87.77 eV/cell. For the total magnetization, the calculation gives 0.00 μB per formula unit.

Cell and atoms, written as POSCAR:
```
La2Mg12Pt7
1.0
-2.019 2.453 -2.601
-4.257 -8.747 -4.945
-5.229 4.603 8.400
La Mg Pt
2 12 7
direct
0.500 0.000 0.000
0.000 0.667 0.333
0.500 0.902 0.627
0.500 0.725 0.098
0.500 0.373 0.275
0.500 0.246 0.796
0.500 0.549 0.754
0.500 0.204 0.451
0.000 0.057 0.555
0.000 0.498 0.943
0.000 0.445 0.502
0.000 0.759 0.713
0.000 0.954 0.241
0.000 0.287 0.046
0.000 0.333 0.667
0.000 0.044 0.799
0.000 0.755 0.956
0.000 0.201 0.245
0.500 0.618 0.530
0.500 0.912 0.382
0.500 0.470 0.088
```

---

Entry from Alexandria: crystalline La2MgPt at its relaxed geometry (PBE-GGA).

Output
The calculation puts the formation energy at -0.477 eV/atom. The total DFT energy (no corrections) comes out at -19.40 eV/cell. For the total magnetization, the calculation gives 0.00 μB per formula unit.

Cell and atoms, written as POSCAR:
```
La2MgPt
1.0
3.561 0.000 0.000
0.000 3.561 0.000
0.000 0.000 8.685
La Mg Pt
2 1 1
direct
0.000 0.000 0.925
0.500 0.500 0.287
0.000 0.000 0.563
0.500 0.500 0.725
```

---

Entry from Alexandria: crystalline La2MgPt at its relaxed geometry (PBE-GGA).

Output
The calculation puts the formation energy at -0.530 eV/atom. The total DFT energy (no corrections) comes out at -19.61 eV/cell. For the total magnetization, the calculation gives 0.00 μB per formula unit.

Cell and atoms, written as POSCAR:
```
La2MgPt
1.0
4.253 0.000 0.000
2.126 3.683 0.000
2.126 1.228 8.487
La Mg Pt
2 1 1
direct
0.063 0.063 0.810
0.270 0.270 0.189
0.500 0.500 0.499
0.666 0.666 0.002
```

---

Entry from Alexandria: crystalline LaMg2Pt2 at its relaxed geometry (PBE-GGA).

Output
The calculation puts the formation energy at -0.680 eV/atom. The total DFT energy (no corrections) comes out at -23.60 eV/cell. For the total magnetization, the calculation gives 0.00 μB per formula unit.

Cell and atoms, written as POSCAR:
```
LaMg2Pt2
1.0
4.833 0.000 0.000
0.000 4.833 0.000
2.417 2.417 4.744
Mg Pt La
2 2 1
direct
0.352 0.352 0.297
0.648 0.648 0.703
0.750 0.250 0.500
0.250 0.750 0.500
0.000 0.000 0.000
```

---

Entry from Alexandria: crystalline LaMg2Pt at its relaxed geometry (PBE-GGA).

Output
The calculation puts the formation energy at -0.160 eV/atom. The total DFT energy (no corrections) comes out at -14.80 eV/cell. For the total magnetization, the calculation gives 0.04 μB per formula unit.

Cell and atoms, written as POSCAR:
```
LaMg2Pt
1.0
-4.374 -3.242 2.454
4.244 -2.373 -3.467
1.773 -0.494 2.508
La Mg Pt
1 2 1
direct
0.000 0.500 0.500
0.000 0.000 0.000
0.500 0.500 0.000
0.500 0.000 0.500
```

---

Entry from Alexandria: crystalline La2MgPt at its relaxed geometry (PBE-GGA).

Output
The calculation puts the formation energy at -0.543 eV/atom. The total DFT energy (no corrections) comes out at -19.66 eV/cell. For the total magnetization, the calculation gives 0.00 μB per formula unit.

Cell and atoms, written as POSCAR:
```
La2MgPt
1.0
-1.327 1.263 -4.336
-3.836 0.599 1.349
-0.678 5.909 1.928
La Mg Pt
2 1 1
direct
0.000 0.976 0.912
0.500 0.265 0.350
0.000 0.694 0.492
0.500 0.564 0.746
```

---

Number 1: volume 20.17 A^3/atom. Number 2: volume 27.53 A^3/atom. Number 3: volume 33.23 A^3/atom. Number 4: volume 22.16 A^3/atom. Number 5: volume 23.28 A^3/atom. Number 6: volume 28.44 A^3/atom.